BeOsNO: optimized geometry, PBE.

Unit cell a=4.7682 b=6.2701 c=4.9770 alpha=90.00 beta=97.15 gamma=90.00
Closest atoms and distances in Å follow each position.
Element x y z (fractional)
Be 0.0336 0.5889 0.1106  1 O 1.67, 3 N 1.74-1.79
Be 0.5271 0.5772 0.3934  1 O 1.67, 3 N 1.71-1.77
Be 0.0336 0.4111 0.6106  1 O 1.67, 3 N 1.74-1.79
Be 0.5271 0.4228 0.8934  1 O 1.67, 3 N 1.71-1.77
N 0.3865 0.6258 0.0665  3 Be 1.71-1.74
N 0.8944 0.6299 0.4255  3 Be 1.74-1.79, 1 Os 1.93
N 0.3865 0.3742 0.5665  3 Be 1.71-1.74
N 0.8944 0.3701 0.9255  3 Be 1.74-1.79, 1 Os 1.93
O 0.4065 0.2205 0.0647  1 Be 1.67
O 0.8708 0.2086 0.4369  1 Be 1.67
O 0.4065 0.7795 0.5647  1 Be 1.67
O 0.8708 0.7914 0.9369  1 Be 1.67
Os 0.0038 0.0887 0.0573  1 N 1.93, 2 O 2.03-2.09
Os 0.4726 0.0784 0.4450  3 O 2.00-2.08, 1 N 2.01
Os 0.0038 0.9113 0.5573  1 N 1.93, 2 O 2.03-2.09
Os 0.4726 0.9216 0.9450  3 O 2.00-2.08, 1 N 2.01

Results
Calculated total energy ... -7.52 eV per atom
Theoretical density ... 10.31 Mg/m³
Polymorph energy (0 for the lowest one) ... 251 meV/atom
Size of the total moment ... 0.0 μB/f.u.



Zr3AlB: optimized geometry, PBE.

Unit cell a=6.0282 b=6.0282 c=9.4207 alpha=90.00 beta=90.00 gamma=146.20
Closest atoms and distances in Å follow each position.
Element x y z (fractional)
Al 0.2533 0.7467 0.2500  8 Zr 2.93-3.06
Al 0.7467 0.2533 0.7500  8 Zr 2.93-3.06
B 0.5000 0.5000 0.0000  6 Zr 2.38-2.41
B 0.5000 0.5000 0.5000  6 Zr 2.38-2.41
Zr 0.8650 0.1350 0.0412  2 B 2.38
Zr 0.5432 0.4568 0.2500  2 B 2.41
Zr 0.8650 0.1350 0.4588  2 B 2.38
Zr 0.1350 0.8650 0.5412  2 B 2.38
Zr 0.4568 0.5432 0.7500  2 B 2.41
Zr 0.1350 0.8650 0.9588  2 B 2.38

Results
Calculated total energy ... -7.63 eV per atom
Theoretical density ... 5.43 Mg/m³
Size of the total moment ... 0.0 μB/f.u.



HoFeSi2Ni: optimized geometry, PBE.

Unit cell a=5.5814 b=5.5814 c=5.5814 alpha=139.33 beta=139.33 gamma=58.88
Closest atoms and distances in Å follow each position.
Element x y z (fractional)
Fe 0.0000 0.0000 0.0000  4 Si 2.28
Ho 0.2500 0.7500 0.5000  8 Si 3.00, 4 Ni 3.11, 4 Fe 3.11
Ni 0.5000 0.5000 0.0000  4 Si 2.28
Si 0.6242 0.1242 0.5000  2 Fe 2.28, 2 Ni 2.28, 1 Si 2.45
Si 0.8758 0.3758 0.5000  2 Fe 2.28, 2 Ni 2.28, 1 Si 2.45

Results
Calculated total energy ... -6.62 eV per atom
Theoretical density ... 7.62 Mg/m³
Size of the total moment ... 0.0 μB/f.u.



NdYBiO2: optimized geometry, PBE.

Unit cell a=7.3587 b=7.3587 c=7.3587 alpha=149.01 beta=149.01 gamma=44.40
Closest atoms and distances in Å follow each position.
Element x y z (fractional)
Bi 0.9977 0.9977 0.0000  4 Nd 3.58, 4 Y 3.58, 8 O 3.86-4.00, 4 Bi 3.93
Nd 0.6634 0.6634 0.0000  4 O 2.32
O 0.7535 0.2535 0.5000  2 Y 2.24, 2 Nd 2.32
O 0.2535 0.7535 0.5000  2 Y 2.24, 2 Nd 2.32
Y 0.3318 0.3318 0.0000  4 O 2.24

Results
Calculated total energy ... -7.65 eV per atom
Theoretical density ... 7.47 Mg/m³
Size of the total moment ... 0.0 μB/f.u.



Ho4CI2Br3: optimized geometry, PBE.

Unit cell a=9.4051 b=9.4051 c=8.1864 alpha=101.64 beta=101.64 gamma=23.64
Closest atoms and distances in Å follow each position.
Element x y z (fractional)
Br 0.8348 0.8348 0.1712  3 Ho 2.87-2.97
Br 0.5000 0.5000 0.5000  4 Ho 3.13
Br 0.1652 0.1652 0.8288  3 Ho 2.87-2.97
C 0.5000 0.5000 0.0000  6 Ho 2.38-2.52
Ho 0.6320 0.6320 0.0629  1 C 2.38
Ho 0.9984 0.9984 0.1981  2 C 2.52
Ho 0.0016 0.0016 0.8019  2 C 2.52
Ho 0.3680 0.3680 0.9371  1 C 2.38
I 0.1659 0.1659 0.3516  3 Ho 3.01-3.08
I 0.8341 0.8341 0.6484  3 Ho 3.01-3.08

Results
Calculated total energy ... -4.84 eV per atom
Theoretical density ... 6.81 Mg/m³
Polymorph energy (0 for the lowest one) ... 12 meV/atom
Size of the total moment ... 0.0 μB/f.u.



PrGa2Te2: optimized geometry, PBE.

Unit cell a=4.1449 b=4.1449 c=8.1542 alpha=104.72 beta=104.72 gamma=90.00
Closest atoms and distances in Å follow each position.
Element x y z (fractional)
Ga 0.7500 0.2500 0.5000  4 Ga 2.93, 4 Te 3.08
Ga 0.2500 0.7500 0.5000  4 Ga 2.93, 4 Te 3.08
Pr 0.0000 0.0000 0.0000  8 Te 3.30
Te 0.6002 0.6002 0.2004  1 Te 3.05, 4 Ga 3.08, 4 Pr 3.30
Te 0.3998 0.3998 0.7996  1 Te 3.05, 4 Ga 3.08, 4 Pr 3.30

Results
Calculated total energy ... -3.91 eV per atom
Theoretical density ... 6.80 Mg/m³
Size of the total moment ... 0.0 μB/f.u.



Question: Among the records above, which one has the lowest calculated total energy?
Answer: NdYBiO2